Density functional theory data (PBE) for crystalline KMg2TiF8 at its relaxed geometry.

Summary:
Its space group is P-1. For the calculated total energy, the calculation gives -66.64 eV/f.u. For the uncorrected formation energy, the calculation gives -39.49 eV per formula unit. As for the crystal system: triclinic.

Lattice parameters (Å, degrees): 5.0329 5.0290 6.9223 85.25 85.19 82.89
With the nearest neighbours (Å) after each atom.
Sites, in units of the cell vectors:
K 0.0000 0.0000 0.5000  6 F 2.54-2.56
Mg 0.4574 0.4581 0.7254  5 F 1.94-2.02
F 0.2279 0.7797 0.1985  1 Mg 1.94, 1 Ti 2.03
F 0.7721 0.2203 0.8015  1 Mg 1.94, 1 Ti 2.03
F 0.3342 0.3411 0.4886  2 Mg 1.96-2.02
Ti 0.0000 0.0000 0.0000  6 F 1.93-2.03
F 0.2523 0.2605 0.9441  1 Ti 1.93, 1 Mg 2.02
Mg 0.5426 0.5419 0.2746  5 F 1.94-2.02
F 0.2271 0.7785 0.8004  1 Mg 1.95, 1 Ti 2.03
F 0.7729 0.2215 0.1996  1 Mg 1.95, 1 Ti 2.03
F 0.6658 0.6589 0.5114  2 Mg 1.96-2.02
F 0.7477 0.7395 0.0559  1 Ti 1.93, 1 Mg 2.02